[1]
DFT (SCAN) results for YPt2Au at its PBEsol-relaxed geometry.

Symmetry: No. 119
V, A^3/atom: 17.50
Formation energy from the elements, eV per atom: -0.950
Electronic total energy, eV/atom: -60.30
N(E_F), states/eV/atom: 0.256

Unit cell a=4.0420 b=4.0420 c=5.1501 alpha=113.11 beta=113.11 gamma=90.00
Closest atoms and distances in Å follow each position.
Fractional positions:
Y1 0.2500 0.7500 0.5000  8 Pt 2.86-2.94, 4 Au 2.94
Au1 0.5000 0.5000 0.0000  8 Pt 2.86-2.94, 4 Y 2.94
Pt1 0.7500 0.2500 0.5000  4 Y 2.86, 4 Au 2.94, 4 Pt 2.94
Pt2 0.0000 0.0000 0.0000  4 Au 2.86, 4 Y 2.94, 4 Pt 2.94

---

[2]
DFT (SCAN) results for Si2Pt at its PBEsol-relaxed geometry.

ΔE_f (raw), eV per formula unit: -0.3
Symmetry: No. 191
V, A^3/atom: 14.93
Electronic total energy, eV/atom: -30.19
N(E_F), states/eV/atom: 0.539

Unit cell a=2.6443 b=4.4230 c=4.4230 alpha=120.00 beta=90.00 gamma=90.00
Closest atoms and distances in Å follow each position.
Fractional positions:
Si1 0.0000 0.6667 0.3333  5 Si 2.55-2.64, 3 Pt 2.55
Si2 0.0000 0.3333 0.6667  5 Si 2.55-2.64, 3 Pt 2.55
Pt1 0.0000 0.0000 0.0000  6 Si 2.55, 2 Pt 2.64